VASP calculation (PBE) on Sm6AlZn5 after structural relaxation.

space-group type = Cmmm
formation enthalpy at 0 K = -0.32 eV/atom

a b c (Å): 8.1500 8.1500 7.3301
angles (deg): 90.00 90.00 143.20
Closest atoms and distances in Å follow each position.
Fractional positions:
Sm: 0.0000 0.0000 0.2488  6 Zn 3.14-3.16, 2 Al 3.16
Sm: 0.0000 0.0000 0.7512  6 Zn 3.14-3.16, 2 Al 3.16
Sm: 0.3329 0.6671 0.2508  7 Zn 3.15-3.18, 1 Al 3.17
Sm: 0.3329 0.6671 0.7492  7 Zn 3.15-3.18, 1 Al 3.17
Sm: 0.6671 0.3329 0.2508  7 Zn 3.15-3.18, 1 Al 3.17
Sm: 0.6671 0.3329 0.7492  7 Zn 3.15-3.18, 1 Al 3.17
Al: 0.5000 0.5000 0.5000  8 Sm 3.16-3.17
Zn: 0.1645 0.8355 0.5000  8 Sm 3.14-3.18
Zn: 0.1666 0.8334 0.0000  8 Sm 3.16
Zn: 0.5000 0.5000 0.0000  8 Sm 3.15-3.17
Zn: 0.8334 0.1666 0.0000  8 Sm 3.16
Zn: 0.8355 0.1645 0.5000  8 Sm 3.14-3.18

***

VASP calculation (PBE) on Y3Cl after structural relaxation.

space-group type = Cmcm
ΔE_f (raw) = -0.2512 eV per atom

a b c (Å): 7.5010 7.5010 5.9332
angles (deg): 90.00 90.00 122.12
Closest atoms and distances in Å follow each position.
Fractional positions:
Y: 0.0664 0.4167 0.7500  1 Cl 2.59
Y: 0.0904 0.9096 0.7500  10 Y 3.60-3.90, 2 Cl 4.01
Y: 0.4167 0.0664 0.2500  1 Cl 2.59
Y: 0.5833 0.9336 0.7500  1 Cl 2.59
Y: 0.9096 0.0904 0.2500  10 Y 3.60-3.90, 2 Cl 4.01
Y: 0.9336 0.5833 0.2500  1 Cl 2.59
Cl: 0.4607 0.5393 0.7500  2 Y 2.59
Cl: 0.5393 0.4607 0.2500  2 Y 2.59

***

VASP calculation (PBE) on LaY after structural relaxation.

space-group type = Fm-3m
formation enthalpy at 0 K = 0.67 eV/atom

a b c (Å): 4.6716 4.6716 4.6716
angles (deg): 60.00 60.00 60.00
Closest atoms and distances in Å follow each position.
Fractional positions:
La: 0.0000 0.0000 0.0000  6 Y 3.30
Y: 0.5000 0.5000 0.5000  6 La 3.30

***

VASP calculation (PBE) on TbNd2Ga2Cu2 after structural relaxation.

space-group type = R-3m
formation enthalpy at 0 K = -0.39 eV/atom

a b c (Å): 9.7765 9.7765 9.7765
angles (deg): 26.07 26.07 26.07
Closest atoms and distances in Å follow each position.
Fractional positions:
Tb: 0.0000 0.0000 0.0000  6 Cu 3.04, 6 Ga 3.13
Nd: 0.1230 0.1230 0.1230  3 Ga 3.04, 3 Cu 3.13
Nd: 0.8770 0.8770 0.8770  3 Ga 3.04, 3 Cu 3.13
Ga: 0.2690 0.2690 0.2690  3 Cu 2.55
Ga: 0.7310 0.7310 0.7310  3 Cu 2.55
Cu: 0.3919 0.3919 0.3919  3 Ga 2.55
Cu: 0.6081 0.6081 0.6081  3 Ga 2.55

***

VASP calculation (PBE) on Ba2NaCdNi after structural relaxation.

space-group type = P4/mmm
formation enthalpy at 0 K = -0.06 eV/atom

a b c (Å): 6.0411 6.0411 5.1791
angles (deg): 90.00 90.00 90.00
Closest atoms and distances in Å follow each position.
Fractional positions:
Ba: 0.0000 0.5000 0.0000  2 Ni 3.02
Ba: 0.5000 0.0000 0.0000  2 Ni 3.02
Na: 0.0000 0.0000 0.5000  8 Ba 3.98, 4 Cd 4.27
Cd: 0.5000 0.5000 0.5000  2 Ni 2.59
Ni: 0.5000 0.5000 0.0000  2 Cd 2.59

***

VASP calculation (PBE) on Hg2PSe after structural relaxation.

space-group type = Immm
ΔE_f (raw) = 0.2843 eV per atom

a b c (Å): 7.7484 7.7484 7.7484
angles (deg): 153.81 151.63 38.99
Closest atoms and distances in Å follow each position.
Fractional positions:
Hg: 0.1891 0.1891 0.0000  6 Hg 3.14-3.51, 2 P 3.27, 2 Se 3.35
Hg: 0.8109 0.8109 0.0000  6 Hg 3.14-3.51, 2 P 3.27, 2 Se 3.35
P: 0.0000 0.5000 0.5000  4 Se 2.59
Se: 0.5000 0.0000 0.5000  4 P 2.59